Record 1
! PBE CdNiMo2Au, optimized geometry; values from VASP
! SG	P4/mmm, No. 123
! Fermi-level density of states	1.6521	states/eV/atom
! ΔE_f	2170	meV per atom
&SYSTEM
  ibrav = 0, nat = 5, ntyp = 4
/
ATOMIC_SPECIES
Ni 58.69 Ni.upf
Cd 112.41 Cd.upf
Mo 95.94 Mo.upf
Au 196.97 Au.upf
CELL_PARAMETERS angstrom
-2.9108 -1.7986 -3.5921
-2.3537 -2.3460 3.0819
-3.0824 3.8448 0.5726
ATOMIC_POSITIONS crystal
Ni 0.0000 0.5000 0.0000
Cd 0.0000 0.0000 0.0000
Mo 0.5000 0.0000 0.0000
Au 0.5000 0.5000 0.5000
Mo 0.0000 0.0000 0.5000

---

Record 2
! PBE CdMo2RuAu, optimized geometry; values from VASP
! SG	P4/mmm, No. 123
! Fermi-level density of states	1.7401	states/eV/atom
! ΔE_f	2086	meV per atom
&SYSTEM
  ibrav = 0, nat = 5, ntyp = 4
/
ATOMIC_SPECIES
Ru 101.07 Ru.upf
Mo 95.94 Mo.upf
Cd 112.41 Cd.upf
Au 196.97 Au.upf
CELL_PARAMETERS angstrom
-0.3401 -4.4573 -1.8621
1.6259 -1.8999 4.2507
-4.5591 -0.3207 1.6006
ATOMIC_POSITIONS crystal
Ru 0.0000 0.5000 0.0000
Mo 0.0000 0.0000 0.5000
Mo 0.5000 0.0000 0.0000
Cd 0.5000 0.5000 0.5000
Au 0.0000 0.0000 0.0000

---

Record 3
! PBE CdMoAu2S, optimized geometry; values from VASP
! SG	P4/mmm, No. 123
! Fermi-level density of states	1.0559	states/eV/atom
! ΔE_f (raw)	0.463	eV/atom
&SYSTEM
  ibrav = 0, nat = 5, ntyp = 4
/
ATOMIC_SPECIES
Cd 112.41 Cd.upf
S 32.06 S.upf
Au 196.97 Au.upf
Mo 95.94 Mo.upf
CELL_PARAMETERS angstrom
-1.4408 3.3137 -3.7862
-4.0949 -1.7514 0.0254
-1.4700 3.4893 3.6133
ATOMIC_POSITIONS crystal
Cd 0.5000 0.5000 0.5000
S 0.0000 0.5000 0.0000
Au 0.5000 0.0000 0.0000
Au 0.0000 0.0000 0.5000
Mo 0.0000 0.0000 0.0000

---

Record 4
! PBE CdSiMo2Au, optimized geometry; values from VASP
! SG	P4/mmm, No. 123
! Fermi-level density of states	0.9212	states/eV/atom
! ΔE_f (raw)	1.656	eV/atom
&SYSTEM
  ibrav = 0, nat = 5, ntyp = 4
/
ATOMIC_SPECIES
Cd 112.41 Cd.upf
Mo 95.94 Mo.upf
Au 196.97 Au.upf
Si 28.09 Si.upf
CELL_PARAMETERS angstrom
-3.7369 -1.0123 -3.4675
-2.5632 -1.7438 3.2715
-2.0764 4.6845 0.8701
ATOMIC_POSITIONS crystal
Cd 0.5000 0.5000 0.5000
Mo 0.5000 0.0000 0.0000
Mo 0.0000 0.0000 0.5000
Au 0.0000 0.0000 0.0000
Si 0.0000 0.5000 0.0000

---

The evaluated VASP energy for the records listed, in turn: -20.79 -24.70 -20.11 -23.00 eV/f.u..